[1]
DFT (meta-GGA SCAN) results for NbSn2H2 at its PBEsol-relaxed geometry.

## Properties
space-group type: I4/mmm, No. 139
DFT total energy: -22.064 eV per atom
mass density: 7.25 g cm⁻³

a = 5.0712 Å, b = 5.0712 Å, c = 5.9216 Å
α = 90.00°, β = 90.00°, γ = 90.00°
Element x y z (fractional)
Nb: 0.0000 0.0000 0.0000
Nb: 0.5000 0.5000 0.5000
Sn: 0.0000 0.5000 0.2500
Sn: 0.0000 0.5000 0.7500
Sn: 0.5000 0.0000 0.2500
Sn: 0.5000 0.0000 0.7500
H: 0.0000 0.0000 0.3157
H: 0.0000 0.0000 0.6843
H: 0.5000 0.5000 0.1843
H: 0.5000 0.5000 0.8157

---

[2]
DFT (meta-GGA SCAN) results for BeNi2Sb at its PBEsol-relaxed geometry.

## Properties
space-group type: Fm-3m, No. 225
ΔE to the lowest computed polymorph: 0 meV per atom
energy relative to the elements, uncorrected: -2.44 kcal/mol of atoms
mass density: 8.43 g cm⁻³

a = 5.8039 Å, b = 5.8039 Å, c = 5.8039 Å
α = 90.00°, β = 90.00°, γ = 90.00°
Element x y z (fractional)
Be: 0.0000 0.0000 0.0000
Be: 0.0000 0.5000 0.5000
Be: 0.5000 0.0000 0.5000
Be: 0.5000 0.5000 0.0000
Ni: 0.2500 0.2500 0.2500
Ni: 0.2500 0.2500 0.7500
Ni: 0.2500 0.7500 0.2500
Ni: 0.2500 0.7500 0.7500
Ni: 0.7500 0.2500 0.2500
Ni: 0.7500 0.2500 0.7500
Ni: 0.7500 0.7500 0.2500
Ni: 0.7500 0.7500 0.7500
Sb: 0.0000 0.0000 0.5000
Sb: 0.0000 0.5000 0.0000
Sb: 0.5000 0.0000 0.0000
Sb: 0.5000 0.5000 0.5000

---

[3]
DFT (meta-GGA SCAN) results for Al2SiAs at its PBEsol-relaxed geometry.

## Properties
space-group type: P4mm, No. 99
energy relative to the elements, uncorrected: 6.65 kcal/mol of atoms
mass density: 3.96 g cm⁻³

a = 2.8107 Å, b = 2.8107 Å, c = 8.3388 Å
α = 90.00°, β = 90.00°, γ = 90.00°
Element x y z (fractional)
Al: 0.0000 0.0000 0.0000
Al: 0.5000 0.5000 0.2410
Si: 0.5000 0.5000 0.7747
As: 0.0000 0.0000 0.4915

---

[4]
DFT (meta-GGA SCAN) results for La2ZrAl at its PBEsol-relaxed geometry.

## Properties
space-group type: R-3m, No. 166
mass density: 6.17 g cm⁻³
energy relative to the elements: 139 meV/atom

a = 3.3668 Å, b = 3.3668 Å, c = 32.5944 Å
α = 90.00°, β = 90.00°, γ = 120.00°
Element x y z (fractional)
La: 0.0000 0.0000 0.2490
La: 0.0000 0.0000 0.7510
La: 0.3333 0.6667 0.4177
La: 0.3333 0.6667 0.9156
La: 0.6667 0.3333 0.0844
La: 0.6667 0.3333 0.5823
Zr: 0.0000 0.0000 0.0000
Zr: 0.3333 0.6667 0.6667
Zr: 0.6667 0.3333 0.3333
Al: 0.0000 0.0000 0.5000
Al: 0.3333 0.6667 0.1667
Al: 0.6667 0.3333 0.8333

---

[5]
DFT (meta-GGA SCAN) results for CaZrGa3 at its PBEsol-relaxed geometry.

## Properties
space-group type: Pm-3m, No. 221
mass density: 4.25 g cm⁻³
energy relative to the elements: -7 meV/atom

a = 5.1063 Å, b = 5.1063 Å, c = 5.1063 Å
α = 90.00°, β = 90.00°, γ = 90.00°
Element x y z (fractional)
Ca: 0.0000 0.0000 0.0000
Zr: 0.5000 0.5000 0.5000
Ga: 0.0000 0.5000 0.5000
Ga: 0.5000 0.0000 0.5000
Ga: 0.5000 0.5000 0.0000

---

[6]
DFT (meta-GGA SCAN) results for BaScPb2 at its PBEsol-relaxed geometry.

## Properties
space-group type: Pmmm, No. 47
mass density: 8.45 g cm⁻³
energy relative to the elements: -633 meV/atom

a = 3.5551 Å, b = 4.3254 Å, c = 7.6246 Å
α = 90.00°, β = 90.00°, γ = 90.00°
Element x y z (fractional)
Ba: 0.0000 0.0000 0.0000
Sc: 0.0000 0.0000 0.5000
Pb: 0.5000 0.5000 0.2967
Pb: 0.5000 0.5000 0.7033

---

[7]
DFT (meta-GGA SCAN) results for Li4C at its PBEsol-relaxed geometry.

## Properties
space-group type: P-3m1, No. 164
ΔE to the lowest computed polymorph: 306 meV per atom
mass density: 0.89 g cm⁻³
energy relative to the elements: 647 meV/atom

a = 2.7839 Å, b = 2.7839 Å, c = 11.0539 Å
α = 90.00°, β = 90.00°, γ = 120.00°
Element x y z (fractional)
Li: 0.3333 0.6667 0.1235
Li: 0.3333 0.6667 0.3863
Li: 0.6667 0.3333 0.6137
Li: 0.6667 0.3333 0.8765
C: 0.0000 0.0000 0.0000

---

[8]
DFT (meta-GGA SCAN) results for Te3Pt at its PBEsol-relaxed geometry.

## Properties
space-group type: Pm-3m, No. 221
energy relative to the elements, uncorrected: 14.06 kcal/mol of atoms
mass density: 10.34 g cm⁻³

a = 4.5279 Å, b = 4.5279 Å, c = 4.5279 Å
α = 90.00°, β = 90.00°, γ = 90.00°
Element x y z (fractional)
Te: 0.0000 0.0000 0.5000
Te: 0.0000 0.5000 0.0000
Te: 0.5000 0.0000 0.0000
Pt: 0.5000 0.5000 0.5000

---

[9]
DFT (meta-GGA SCAN) results for MoRh2 at its PBEsol-relaxed geometry.

## Properties
space-group type: Pnma, No. 62
mass density: 11.99 g cm⁻³
energy relative to the elements: -269 meV/atom

a = 4.7193 Å, b = 4.3151 Å, c = 8.2115 Å
α = 90.00°, β = 90.00°, γ = 90.00°
Element x y z (fractional)
Mo: 0.1690 0.2500 0.1567
Mo: 0.3310 0.7500 0.6567
Mo: 0.6690 0.2500 0.3433
Mo: 0.8310 0.7500 0.8433
Rh: 0.1604 0.2500 0.8295
Rh: 0.1665 0.2500 0.4939
Rh: 0.3335 0.7500 0.9939
Rh: 0.3396 0.7500 0.3295
Rh: 0.6604 0.2500 0.6705
Rh: 0.6665 0.2500 0.0061
Rh: 0.8335 0.7500 0.5061
Rh: 0.8396 0.7500 0.1705

---

[10]
DFT (meta-GGA SCAN) results for YB3I at its PBEsol-relaxed geometry.

## Properties
space-group type: Pm-3m, No. 221
energy relative to the elements, uncorrected: 45.27 kcal/mol of atoms
mass density: 4.89 g cm⁻³

a = 4.3860 Å, b = 4.3860 Å, c = 4.3860 Å
α = 90.00°, β = 90.00°, γ = 90.00°
Element x y z (fractional)
Y: 0.0000 0.0000 0.0000
B: 0.0000 0.5000 0.5000
B: 0.5000 0.0000 0.5000
B: 0.5000 0.5000 0.0000
I: 0.5000 0.5000 0.5000

---

[11]
DFT (meta-GGA SCAN) results for Ca5Sb at its PBEsol-relaxed geometry.

## Properties
space-group type: P6/mmm, No. 191
energy relative to the elements, uncorrected: 6.17 kcal/mol of atoms
mass density: 2.25 g cm⁻³

a = 6.6648 Å, b = 6.6648 Å, c = 6.1714 Å
α = 90.00°, β = 90.00°, γ = 120.00°
Element x y z (fractional)
Ca: 0.0000 0.5000 0.0000
Ca: 0.3333 0.6667 0.5000
Ca: 0.5000 0.0000 0.0000
Ca: 0.5000 0.5000 0.0000
Ca: 0.6667 0.3333 0.5000
Sb: 0.0000 0.0000 0.5000

---

[12]
DFT (meta-GGA SCAN) results for SrCd4Fe at its PBEsol-relaxed geometry.

## Properties
space-group type: F-43m, No. 216
mass density: 7.53 g cm⁻³
energy relative to the elements: 117 meV/atom

a = 5.6985 Å, b = 5.6985 Å, c = 5.6985 Å
α = 60.00°, β = 60.00°, γ = 60.00°
Element x y z (fractional)
Sr: 0.0000 0.0000 0.0000
Cd: 0.1283 0.6239 0.6239
Cd: 0.6239 0.1283 0.6239
Cd: 0.6239 0.6239 0.1283
Cd: 0.6239 0.6239 0.6239
Fe: 0.2500 0.2500 0.2500

---

[13]
DFT (meta-GGA SCAN) results for CaBeZn2 at its PBEsol-relaxed geometry.

## Properties
space-group type: P2/m, No. 10
mass density: 4.27 g cm⁻³
energy relative to the elements: 72 meV/atom

a = 3.1844 Å, b = 3.9901 Å, c = 5.6655 Å
α = 90.00°, β = 103.60°, γ = 90.00°
Element x y z (fractional)
Ca: 0.0000 0.0000 0.0000
Be: 0.5000 0.0000 0.5000
Zn: 0.3476 0.5000 0.6865
Zn: 0.6524 0.5000 0.3135

---

[14]
DFT (meta-GGA SCAN) results for Sc2SnWI at its PBEsol-relaxed geometry.

## Properties
space-group type: P4/mmm, No. 123
energy relative to the elements, uncorrected: 17.50 kcal/mol of atoms
mass density: 6.41 g cm⁻³

a = 5.1898 Å, b = 5.1898 Å, c = 4.9958 Å
α = 90.00°, β = 90.00°, γ = 90.00°
Element x y z (fractional)
Sc: 0.0000 0.5000 0.0000
Sc: 0.5000 0.0000 0.0000
Sn: 0.0000 0.0000 0.5000
W: 0.5000 0.5000 0.0000
I: 0.5000 0.5000 0.5000

---

[15]
DFT (meta-GGA SCAN) results for Y2ZnBi at its PBEsol-relaxed geometry.

## Properties
space-group type: Fm-3m, No. 225
mass density: 7.52 g cm⁻³
energy relative to the elements: -520 meV/atom

a = 7.3660 Å, b = 7.3660 Å, c = 7.3660 Å
α = 90.00°, β = 90.00°, γ = 90.00°
Element x y z (fractional)
Y: 0.2500 0.2500 0.2500
Y: 0.2500 0.2500 0.7500
Y: 0.2500 0.7500 0.2500
Y: 0.2500 0.7500 0.7500
Y: 0.7500 0.2500 0.2500
Y: 0.7500 0.2500 0.7500
Y: 0.7500 0.7500 0.2500
Y: 0.7500 0.7500 0.7500
Zn: 0.0000 0.0000 0.0000
Zn: 0.0000 0.5000 0.5000
Zn: 0.5000 0.0000 0.5000
Zn: 0.5000 0.5000 0.0000
Bi: 0.0000 0.0000 0.5000
Bi: 0.0000 0.5000 0.0000
Bi: 0.5000 0.0000 0.0000
Bi: 0.5000 0.5000 0.5000

---

[16]
DFT (meta-GGA SCAN) results for Be5Ru3 at its PBEsol-relaxed geometry.

## Properties
space-group type: Cmmm, No. 65
mass density: 7.31 g cm⁻³
energy relative to the elements: -364 meV/atom

a = 5.5964 Å, b = 7.3784 Å, c = 3.8319 Å
α = 90.00°, β = 90.00°, γ = 90.00°
Element x y z (fractional)
Be: 0.0000 0.0000 0.0000
Be: 0.2064 0.5000 0.5000
Be: 0.2500 0.2500 0.0000
Be: 0.2500 0.7500 0.0000
Be: 0.2936 0.0000 0.5000
Be: 0.5000 0.5000 0.0000
Be: 0.7064 0.0000 0.5000
Be: 0.7500 0.2500 0.0000
Be: 0.7500 0.7500 0.0000
Be: 0.7936 0.5000 0.5000
Ru: 0.0000 0.2118 0.5000
Ru: 0.0000 0.5000 0.0000
Ru: 0.0000 0.7882 0.5000
Ru: 0.5000 0.0000 0.0000
Ru: 0.5000 0.2882 0.5000
Ru: 0.5000 0.7118 0.5000

---

[17]
DFT (meta-GGA SCAN) results for Sr2ZnNiRu at its PBEsol-relaxed geometry.

## Properties
space-group type: P4/mmm, No. 123
mass density: 4.80 g cm⁻³
energy relative to the elements: 485 meV/atom

a = 5.6212 Å, b = 5.6212 Å, c = 4.3828 Å
α = 90.00°, β = 90.00°, γ = 90.00°
Element x y z (fractional)
Sr: 0.0000 0.5000 0.0000
Sr: 0.5000 0.0000 0.0000
Zn: 0.0000 0.0000 0.5000
Ni: 0.5000 0.5000 0.5000
Ru: 0.5000 0.5000 0.0000

---

[18]
DFT (meta-GGA SCAN) results for HfSi3N at its PBEsol-relaxed geometry.

## Properties
space-group type: Pm-3m, No. 221
energy relative to the elements, uncorrected: 5.90 kcal/mol of atoms
mass density: 6.96 g cm⁻³

a = 4.0422 Å, b = 4.0422 Å, c = 4.0422 Å
α = 90.00°, β = 90.00°, γ = 90.00°
Element x y z (fractional)
Hf: 0.0000 0.0000 0.0000
Si: 0.0000 0.5000 0.5000
Si: 0.5000 0.0000 0.5000
Si: 0.5000 0.5000 0.0000
N: 0.5000 0.5000 0.5000

---

[19]
DFT (meta-GGA SCAN) results for RbInSn2Mo at its PBEsol-relaxed geometry.

## Properties
space-group type: P4/mmm, No. 123
mass density: 6.04 g cm⁻³
energy relative to the elements: -41 meV/atom

a = 5.2382 Å, b = 5.2382 Å, c = 5.3486 Å
α = 90.00°, β = 90.00°, γ = 90.00°
Element x y z (fractional)
Rb: 0.0000 0.0000 0.0000
In: 0.5000 0.5000 0.0000
Sn: 0.0000 0.5000 0.5000
Sn: 0.5000 0.0000 0.5000
Mo: 0.5000 0.5000 0.5000

---

[20]
DFT (meta-GGA SCAN) results for BaH3Au at its PBEsol-relaxed geometry.

## Properties
space-group type: Pm-3m, No. 221
DFT total energy: -24.209 eV per atom
mass density: 8.61 g cm⁻³

a = 4.0218 Å, b = 4.0218 Å, c = 4.0218 Å
α = 90.00°, β = 90.00°, γ = 90.00°
Element x y z (fractional)
Ba: 0.0000 0.0000 0.0000
H: 0.0000 0.5000 0.5000
H: 0.5000 0.0000 0.5000
H: 0.5000 0.5000 0.0000
Au: 0.5000 0.5000 0.5000